## Rb2MgGa (SCAN)

Data for Rb2MgGa at its PBEsol-relaxed geometry.

Unit cell a=6.1403 b=6.1403 c=6.1403 alpha=60.00 beta=60.00 gamma=60.00
With the nearest neighbours (Å) after each atom.
Atoms (fractional coordinates):
Rb 0.2500 0.2500 0.2500  4 Mg 3.76, 4 Ga 3.76
Rb 0.7500 0.7500 0.7500  4 Mg 3.76, 4 Ga 3.76
Mg 0.0000 0.0000 0.0000  8 Rb 3.76
Ga 0.5000 0.5000 0.5000  8 Rb 3.76

Values from the calculation:
**ΔE_f**: 0.38 eV per atom
**Calculated density**: 2688 kg/m³